# LiPmErSi (PBE, optimized geometry)
data_LiPmErSi
_chemical_formula_sum 'Li4 Pm4 Er4 Si4'
_cell_length_a 7.0902
_cell_length_b 7.0902
_cell_length_c 7.0902
_cell_angle_alpha 90.00
_cell_angle_beta 90.00
_cell_angle_gamma 90.00
_symmetry_space_group_name_H-M 'F -4 3 m'
_symmetry_Int_Tables_number 216
_symmetry_space_group_name_Hall 'F -4 2 3'
loop_
_atom_site_label
_atom_site_fract_x
_atom_site_fract_y
_atom_site_fract_z
_atom_site_occupancy
Li1 0.0000 0.0000 0.0000 1
Pm1 0.2500 0.2500 0.7500 1
Er1 0.2500 0.2500 0.2500 1
Si1 0.0000 0.0000 0.5000 1
# Raw total energy (eV/atom): -4.51
# V (Å³/atom): 22.28